DFT (GGA-PBE) results for a relaxed structure of Ta2Al.

Its total energy is -27.60 eV/f.u.

The structure belongs to space group C2/m (No. 12); the cell edges are 11.1471, 2.8485 and 6.8395 Å and the angles 90.00°, 104.70° and 90.00°. The inequivalent atoms are Ta at (0.1327, 0.0000, 0.0220), Ta at (0.1911, 0.0000, 0.6395) and Al at (0.0318, 0.5000, 0.3092).